No. 1
# NiS2ClO, optimized geometry, DFT PBEsol
data_NiS2ClO
_space_group_name_H-M_alt 'P 4/m m m'
_space_group_IT_number 123
_space_group_name_Hall '-P 4 2'
_cell_length_a 4.3031
_cell_length_b 4.3031
_cell_length_c 4.5520
_cell_angle_alpha 90.00
_cell_angle_beta 90.00
_cell_angle_gamma 90.00
loop_
_atom_site_label
_atom_site_type_symbol
_atom_site_fract_x
_atom_site_fract_y
_atom_site_fract_z
Ni1 Ni 0.0000 0.0000 0.0000
S1 S 0.0000 0.5000 0.0000
Cl1 Cl 0.0000 0.0000 0.5000
O1 O 0.5000 0.5000 0.5000
# DOS at the Fermi energy: 1.3089 states/eV per atom
# calculated total energy: -3.62 eV per atom
# E_form (uncorrected): 0.8161 eV per atom



No. 2
# InGa3Te, optimized geometry, DFT PBEsol
data_InGa3Te
_space_group_name_H-M_alt 'P m -3 m'
_space_group_IT_number 221
_space_group_name_Hall '-P 4 2 3'
_cell_length_a 5.1585
_cell_length_b 5.1585
_cell_length_c 5.1585
_cell_angle_alpha 90.00
_cell_angle_beta 90.00
_cell_angle_gamma 90.00
loop_
_atom_site_label
_atom_site_type_symbol
_atom_site_fract_x
_atom_site_fract_y
_atom_site_fract_z
In1 In 0.0000 0.0000 0.0000
Ga1 Ga 0.0000 0.0000 0.5000
Te1 Te 0.5000 0.5000 0.5000
# ΔE to the lowest computed polymorph: 0 meV per atom
# DOS at the Fermi energy: 0.3165 states/eV per atom
# calculated total energy: -2.98 eV per atom
# E_form (uncorrected): 0.3296 eV per atom



No. 3
# InNi5, optimized geometry, DFT PBEsol
data_InNi5
_space_group_name_H-M_alt 'P -6 2 m'
_space_group_IT_number 189
_space_group_name_Hall 'P -6 -2'
_cell_length_a 4.4518
_cell_length_b 4.4518
_cell_length_c 4.1148
_cell_angle_alpha 90.00
_cell_angle_beta 90.00
_cell_angle_gamma 120.00
loop_
_atom_site_label
_atom_site_type_symbol
_atom_site_fract_x
_atom_site_fract_y
_atom_site_fract_z
In1 In 0.0000 0.0000 0.0000
Ni1 Ni 0.0000 0.6325 0.5000
Ni2 Ni 0.3333 0.6667 0.0000
# DOS at the Fermi energy: 1.4947 states/eV per atom
# calculated total energy: -5.65 eV per atom
# energy of formation: -18 meV per atom



No. 4
# Nd6Ni2Sn, optimized geometry, DFT PBEsol
data_Nd6Ni2Sn
_space_group_name_H-M_alt 'I m m m'
_space_group_IT_number 71
_space_group_name_Hall '-I 2 2'
_cell_length_a 9.2409
_cell_length_b 10.0284
_cell_length_c 10.3433
_cell_angle_alpha 90.00
_cell_angle_beta 90.00
_cell_angle_gamma 90.00
loop_
_atom_site_label
_atom_site_type_symbol
_atom_site_fract_x
_atom_site_fract_y
_atom_site_fract_z
Nd1 Nd 0.0000 0.2039 0.2287
Nd2 Nd 0.1931 0.5000 0.1783
Nd3 Nd 0.2074 0.3144 0.5000
Ni1 Ni 0.0000 0.3655 0.0000
Ni2 Ni 0.0000 0.5000 0.3822
Sn1 Sn 0.0000 0.0000 0.0000
Sn2 Sn 0.0000 0.0000 0.5000
# DOS at the Fermi energy: 0.9418 states/eV per atom
# calculated total energy: -5.60 eV per atom
# energy of formation: -317 meV per atom



No. 5
# Sc3Mo4, optimized geometry, DFT PBEsol
data_Sc3Mo4
_space_group_name_H-M_alt 'I 4/m m m'
_space_group_IT_number 139
_space_group_name_Hall '-I 4 2'
_cell_length_a 3.1705
_cell_length_b 3.1705
_cell_length_c 25.1269
_cell_angle_alpha 90.00
_cell_angle_beta 90.00
_cell_angle_gamma 90.00
loop_
_atom_site_label
_atom_site_type_symbol
_atom_site_fract_x
_atom_site_fract_y
_atom_site_fract_z
Sc1 Sc 0.0000 0.0000 0.0000
Sc2 Sc 0.0000 0.0000 0.3015
Mo1 Mo 0.0000 0.0000 0.1285
Mo2 Mo 0.0000 0.0000 0.4256
# DOS at the Fermi energy: 1.0504 states/eV per atom
# calculated total energy: -9.54 eV per atom
# energy of formation: 18 meV per atom



No. 6
# IrOs2Pb, optimized geometry, DFT PBEsol
data_IrOs2Pb
_space_group_name_H-M_alt 'I m m 2'
_space_group_IT_number 44
_space_group_name_Hall 'I 2 -2'
_cell_length_a 2.8253
_cell_length_b 4.3457
_cell_length_c 11.2790
_cell_angle_alpha 90.00
_cell_angle_beta 90.00
_cell_angle_gamma 90.00
loop_
_atom_site_label
_atom_site_type_symbol
_atom_site_fract_x
_atom_site_fract_y
_atom_site_fract_z
Ir1 Ir 0.0000 0.0000 0.0000
Os1 Os 0.0000 0.0000 0.4352
Os2 Os 0.0000 0.5000 0.7514
Pb1 Pb 0.0000 0.5000 0.1725
# DOS at the Fermi energy: 0.9028 states/eV per atom
# calculated total energy: -8.69 eV per atom
# energy of formation: 878 meV per atom



No. 7
# ReAg3Br, optimized geometry, DFT PBEsol
data_ReAg3Br
_space_group_name_H-M_alt 'P m -3 m'
_space_group_IT_number 221
_space_group_name_Hall '-P 4 2 3'
_cell_length_a 5.0077
_cell_length_b 5.0077
_cell_length_c 5.0077
_cell_angle_alpha 90.00
_cell_angle_beta 90.00
_cell_angle_gamma 90.00
loop_
_atom_site_label
_atom_site_type_symbol
_atom_site_fract_x
_atom_site_fract_y
_atom_site_fract_z
Re1 Re 0.0000 0.0000 0.0000
Ag1 Ag 0.0000 0.0000 0.5000
Br1 Br 0.5000 0.5000 0.5000
# ΔE to the lowest computed polymorph: 0 meV per atom
# DOS at the Fermi energy: 0.8944 states/eV per atom
# calculated total energy: -3.37 eV per atom
# E_form (uncorrected): 1.6539 eV per atom



No. 8
# CaMoPb, optimized geometry, DFT PBEsol
data_CaMoPb
_space_group_name_H-M_alt 'P -6 m 2'
_space_group_IT_number 187
_space_group_name_Hall 'P -6 2'
_cell_length_a 5.0159
_cell_length_b 5.0159
_cell_length_c 3.0614
_cell_angle_alpha 90.00
_cell_angle_beta 90.00
_cell_angle_gamma 120.00
loop_
_atom_site_label
_atom_site_type_symbol
_atom_site_fract_x
_atom_site_fract_y
_atom_site_fract_z
Ca1 Ca 0.0000 0.0000 0.0000
Mo1 Mo 0.3333 0.6667 0.5000
Pb1 Pb 0.6667 0.3333 0.5000
# ΔE to the lowest computed polymorph: 13 meV per atom
# DOS at the Fermi energy: 1.5011 states/eV per atom
# calculated total energy: -5.41 eV per atom
# energy of formation: 561 meV per atom



No. 9
# CaMg2Zr, optimized geometry, DFT PBEsol
data_CaMg2Zr
_space_group_name_H-M_alt 'I -4 m 2'
_space_group_IT_number 119
_space_group_name_Hall 'I -4 -2'
_cell_length_a 4.5664
_cell_length_b 4.5664
_cell_length_c 9.5630
_cell_angle_alpha 90.00
_cell_angle_beta 90.00
_cell_angle_gamma 90.00
loop_
_atom_site_label
_atom_site_type_symbol
_atom_site_fract_x
_atom_site_fract_y
_atom_site_fract_z
Ca1 Ca 0.0000 0.0000 0.0000
Mg1 Mg 0.0000 0.0000 0.5000
Mg2 Mg 0.0000 0.5000 0.2500
Zr1 Zr 0.0000 0.5000 0.7500
# DOS at the Fermi energy: 1.2663 states/eV per atom
# calculated total energy: -3.38 eV per atom
# energy of formation: 283 meV per atom



No. 10
# ZrCdAg2, optimized geometry, DFT PBEsol
data_ZrCdAg2
_space_group_name_H-M_alt 'C 1 2/m 1'
_space_group_IT_number 12
_space_group_name_Hall '-C 2y'
_cell_length_a 9.5764
_cell_length_b 2.8392
_cell_length_c 5.5132
_cell_angle_alpha 90.00
_cell_angle_beta 96.67
_cell_angle_gamma 90.00
loop_
_atom_site_label
_atom_site_type_symbol
_atom_site_fract_x
_atom_site_fract_y
_atom_site_fract_z
Zr1 Zr 0.0000 0.0000 0.0000
Cd1 Cd 0.0000 0.5000 0.5000
Ag1 Ag 0.2488 0.0000 0.7520
# DOS at the Fermi energy: 0.5248 states/eV per atom
# calculated total energy: -4.26 eV per atom
# energy of formation: -29 meV per atom



No. 11
# Ba2TiS4, optimized geometry, DFT PBEsol
data_Ba2TiS4
_space_group_name_H-M_alt 'P n m a'
_space_group_IT_number 62
_space_group_name_Hall '-P 2ac 2n'
_cell_length_a 9.0399
_cell_length_b 6.7211
_cell_length_c 12.2869
_cell_angle_alpha 90.00
_cell_angle_beta 90.00
_cell_angle_gamma 90.00
loop_
_atom_site_label
_atom_site_type_symbol
_atom_site_fract_x
_atom_site_fract_y
_atom_site_fract_z
Ba1 Ba 0.0243 0.2500 0.1721
Ba2 Ba 0.1320 0.7500 0.4194
Ti1 Ti 0.2282 0.7500 0.0737
S1 S 0.0191 0.2500 0.9065
S2 S 0.1663 0.5115 0.6512
S3 S 0.1913 0.2500 0.4008
# DOS at the Fermi energy: 0.0000 states/eV per atom
# calculated total energy: -6.14 eV per atom
# E_form (uncorrected): -1.8291 eV per atom



No. 12
# KI, optimized geometry, DFT PBEsol
data_KI
_space_group_name_H-M_alt 'C m c m'
_space_group_IT_number 63
_space_group_name_Hall '-C 2c 2'
_cell_length_a 4.3827
_cell_length_b 13.1477
_cell_length_c 5.5436
_cell_angle_alpha 90.00
_cell_angle_beta 90.00
_cell_angle_gamma 90.00
loop_
_atom_site_label
_atom_site_type_symbol
_atom_site_fract_x
_atom_site_fract_y
_atom_site_fract_z
K1 K 0.0000 0.1152 0.2500
I1 I 0.0000 0.3790 0.2500
# DOS at the Fermi energy: 0.0000 states/eV per atom
# calculated total energy: -2.87 eV per atom
# E_form (uncorrected): -1.4214 eV per atom